# 1
Crystalline Ca2CdSiNi at its relaxed geometry. Source: Alexandria via LeMat-Bulk, functional GGA-PBE.

Unit cell a=5.1380 b=4.8969 c=5.1380 alpha=90.00 beta=90.00 gamma=90.00
Sites, in units of the cell vectors:
Cd 0.0000 0.5000 0.0000
Ca 0.5000 0.0000 0.0000
Ca 0.0000 0.0000 0.5000
Si 0.5000 0.5000 0.5000
Ni 0.0000 0.0000 0.0000

Output
Calculated volume ... 129.27 Å³/f.u.
Theoretical density ... 3.59 g/cm3
Raw formation energy ... 134 meV per atom
Energy above the lowest structure with this stoichiometry ... 0.412 eV/atom
Electronic total energy ... -3.091 eV per atom

# 2
Crystalline Ca2CdSiNi at its relaxed geometry. Source: Alexandria via LeMat-Bulk, functional GGA-PBE.

Unit cell a=5.4329 b=5.4329 c=4.3143 alpha=90.00 beta=90.00 gamma=90.00
Sites, in units of the cell vectors:
Ni 0.0000 0.0000 0.0000
Ca 0.5000 0.0000 0.0000
Si 0.0000 0.0000 0.5000
Ca 0.0000 0.5000 0.0000
Cd 0.5000 0.5000 0.5000

Output
Calculated volume ... 127.34 Å³/f.u.
Theoretical density ... 3.64 g/cm3
Raw formation energy ... -278 meV per atom
Energy above the lowest structure with this stoichiometry ... 0.000 eV/atom
Electronic total energy ... -3.503 eV per atom

# 3
Crystalline CaCdNiSn2 at its relaxed geometry. Source: Alexandria via LeMat-Bulk, functional GGA-PBE.

Unit cell a=5.0066 b=5.0205 c=5.0066 alpha=90.00 beta=90.00 gamma=90.00
Sites, in units of the cell vectors:
Ca 0.5000 0.5000 0.5000
Ni 0.0000 0.0000 0.0000
Sn 0.5000 0.0000 0.0000
Sn 0.0000 0.0000 0.5000
Cd 0.0000 0.5000 0.0000

Output
Calculated volume ... 125.85 Å³/f.u.
Theoretical density ... 5.92 g/cm3
Energy of formation ... -185.7 meV per atom
Electronic total energy ... -3.526 eV per atom

# 4
Crystalline CaCd2NiSn at its relaxed geometry. Source: Alexandria via LeMat-Bulk, functional GGA-PBE.

Unit cell a=5.0085 b=5.0085 c=4.8909 alpha=90.00 beta=90.00 gamma=90.00
Sites, in units of the cell vectors:
Cd 0.0000 0.5000 0.0000
Sn 0.0000 0.0000 0.5000
Ca 0.5000 0.5000 0.5000
Ni 0.0000 0.0000 0.0000
Cd 0.5000 0.0000 0.0000

Output
Calculated volume ... 122.69 Å³/f.u.
Theoretical density ... 5.99 g/cm3
Energy above the lowest structure with this stoichiometry ... 0.000 eV/atom
Energy of formation ... -182.1 meV per atom
Electronic total energy ... -2.905 eV per atom

# 5
Crystalline CaCd2NiSn at its relaxed geometry. Source: Alexandria via LeMat-Bulk, functional GGA-PBE.

Unit cell a=5.7057 b=4.7197 c=5.7057 alpha=90.00 beta=90.00 gamma=90.00
Sites, in units of the cell vectors:
Ca 0.0000 0.0000 0.0000
Sn 0.5000 0.5000 0.5000
Ni 0.0000 0.5000 0.0000
Cd 0.0000 0.0000 0.5000
Cd 0.5000 0.0000 0.0000

Output
Calculated volume ... 153.65 Å³/f.u.
Theoretical density ... 4.78 g/cm3
Energy above the lowest structure with this stoichiometry ... 1.025 eV/atom
Energy of formation ... 842.6 meV per atom
Electronic total energy ... -1.881 eV per atom

# 6
Crystalline Sr2CaCdNi at its relaxed geometry. Source: Alexandria via LeMat-Bulk, functional GGA-PBE.

Unit cell a=5.7625 b=5.7625 c=5.1949 alpha=90.00 beta=90.00 gamma=90.00
Sites, in units of the cell vectors:
Sr 0.0000 0.5000 0.0000
Ni 0.0000 0.0000 0.0000
Ca 0.5000 0.5000 0.5000
Cd 0.0000 0.0000 0.5000
Sr 0.5000 0.0000 0.0000

Output
Calculated volume ... 172.50 Å³/f.u.
Theoretical density ... 3.72 g/cm3
Energy above the lowest structure with this stoichiometry ... 0.058 eV/atom
Energy of formation ... -0.5 meV per atom
Electronic total energy ... -2.413 eV per atom

# 7
Crystalline Sr2CaCdNi at its relaxed geometry. Source: Alexandria via LeMat-Bulk, functional GGA-PBE.

Unit cell a=5.7609 b=5.7609 c=5.3937 alpha=90.00 beta=90.00 gamma=90.00
Sites, in units of the cell vectors:
Sr 0.5000 0.0000 0.0000
Cd 0.5000 0.5000 0.5000
Ni 0.0000 0.0000 0.0000
Sr 0.0000 0.5000 0.0000
Ca 0.0000 0.0000 0.5000

Output
Calculated volume ... 179.01 Å³/f.u.
Theoretical density ... 3.58 g/cm3
Energy above the lowest structure with this stoichiometry ... 0.000 eV/atom
Energy of formation ... -58.5 meV per atom
Electronic total energy ... -2.471 eV per atom

# 8
Crystalline CaTbCdNi at its relaxed geometry. Source: Alexandria via LeMat-Bulk, functional GGA-PBE.

Unit cell a=5.0918 b=5.0918 c=5.0918 alpha=60.00 beta=60.00 gamma=60.00
Sites, in units of the cell vectors:
Tb 0.0000 0.0000 0.0000
Ca 0.5000 0.5000 0.5000
Cd 0.7500 0.7500 0.7500
Ni 0.2500 0.2500 0.2500

Output
Calculated volume ... 93.34 Å³/f.u.
Theoretical density ... 6.58 g/cm3
Energy of formation ... -172.0 meV per atom
Electronic total energy ... -3.504 eV per atom